1.
Computed, not measured: a geometry-optimized La4Pm15Ho structure at the GGA-PBE level of DFT.

Properties
Density of states at the Fermi level ... 31.8 states/eV per cell
Formation energy from the elements ... 18 meV per atom

Cell lengths 5.189, 5.189, 25.900 Å; angles 90.00, 90.00, 90.00 degrees
Space group P4/mmm (No. 123)
Unique sites:
La: 0.000 0.000 0.101
La: 0.000 0.000 0.301
Pm: 0.000 0.500 0.000
Pm: 0.000 0.500 0.201
Pm: 0.000 0.500 0.402
Pm: 0.500 0.500 0.101
Pm: 0.500 0.500 0.302
Pm: 0.500 0.500 0.500
Ho: 0.000 0.000 0.500

2.
Computed, not measured: a geometry-optimized Li4CeHo3S8 structure at the GGA-PBE level of DFT.

Properties
Density of states at the Fermi level ... 18.4 states/eV per cell
Final energy ... -268.09 eV per cell

Cell lengths 7.8715, 7.8715, 18.5218 Å; angles 90.00, 90.00, 120.00 degrees
Space group R-3m (No. 166, hexagonal axes)
Unique sites:
Li: 0.0000 0.0000 0.0000
Li: 0.0000 0.5000 0.0000
Ce: 0.0000 0.0000 0.5000
Ho: 0.0000 0.5000 0.5000
S: 0.0000 0.0000 0.2497
S: 0.0077 0.5039 0.7493

3.
Computed, not measured: a geometry-optimized Eu2ZnN structure at the GGA-PBE level of DFT.

Properties
Density of states at the Fermi level ... 3.2 states/eV per cell
Polymorph energy (0 for the lowest one) ... 244 meV/atom

Cell lengths 3.245, 3.245, 7.573 Å; angles 90.00, 90.00, 90.00 degrees
Space group P4/mmm (No. 123)
Unique sites:
Eu: 0.000 0.000 0.187
Zn: 0.500 0.500 0.500
N: 0.500 0.500 0.000

4.
Computed, not measured: a geometry-optimized TlNiAuSe2 structure at the GGA-PBE level of DFT.

Properties
Density of states at the Fermi level ... 9.9 states/eV per cell
Final energy ... -77.62 eV per cell

Cell lengths 5.736, 11.390, 7.494 Å; angles 90.00, 90.00, 90.00 degrees
Space group Cmme (No. 67)
Unique sites:
Tl: 0.000 0.250 0.250
Ni: 0.250 0.000 0.000
Au: 0.000 0.000 0.500
Se: 0.000 0.097 0.802

5.
Computed, not measured: a geometry-optimized LaDyAgSn structure at the GGA-PBE level of DFT.

Properties
Density of states at the Fermi level ... 18.3 states/eV per cell
Formation energy from the elements ... -517 meV per atom

Cell lengths 7.608, 7.608, 7.608 Å; angles 90.00, 90.00, 90.00 degrees
Space group F-43m (No. 216)
Unique sites:
La: 0.000 0.000 0.000
Dy: 0.000 0.000 0.500
Ag: 0.250 0.250 0.250
Sn: 0.250 0.250 0.750

6.
Computed, not measured: a geometry-optimized La3ErSe6 structure at the GGA-PBE level of DFT.

Properties
Density of states at the Fermi level ... 0.0 states/eV per cell
Polymorph energy (0 for the lowest one) ... 0 meV/atom

Cell lengths 12.4427, 12.4427, 14.6410 Å; angles 90.00, 90.00, 120.00 degrees
Space group R-3 (No. 148, hexagonal axes)
Unique sites:
La: 0.0500 0.2711 0.2005
Er: 0.0000 0.0000 0.0000
Er: 0.0000 0.0000 0.5000
Se: 0.0230 0.2068 0.3993
Se: 0.0319 0.1919 0.8817

7.
Computed, not measured: a geometry-optimized Tl5In4Hg structure at the GGA-PBE level of DFT.

Properties
Density of states at the Fermi level ... 4.1 states/eV per cell
Formation energy from the elements ... 18 meV per atom

Cell lengths 3.540, 3.540, 23.001 Å; angles 90.00, 90.00, 90.00 degrees
Space group P4/mmm (No. 123)
Unique sites:
Tl: 0.000 0.000 0.000
Tl: 0.000 0.000 0.201
Tl: 0.000 0.000 0.403
In: 0.500 0.500 0.100
In: 0.500 0.500 0.301
Hg: 0.500 0.500 0.500

8.
Computed, not measured: a geometry-optimized ScTlIr structure at the GGA-PBE level of DFT.

Properties
Density of states at the Fermi level ... 2.4 states/eV per cell
Formation energy from the elements ... -93 meV per atom

Cell lengths 3.2846, 3.2846, 6.6539 Å; angles 90.00, 90.00, 120.00 degrees
Space group P3m1 (No. 156)
Unique sites:
Sc: 0.0000 0.0000 0.0000
Tl: 0.6667 0.3333 0.3853
Ir: 0.3333 0.6667 0.7272

9.
Computed, not measured: a geometry-optimized Th3Co2Ge6Pd structure at the GGA-PBE level of DFT.

Properties
Density of states at the Fermi level ... 9.7 states/eV per cell
Formation energy from the elements ... -222 meV per atom

Cell lengths 6.1560, 6.1560, 7.5673 Å; angles 90.00, 90.00, 120.00 degrees
Space group P-3m1 (No. 164)
Unique sites:
Th: 0.0000 0.0000 0.0000
Th: 0.3333 0.6667 0.6663
Co: 0.3333 0.6667 0.0256
Ge: 0.1931 0.3862 0.2875
Pd: 0.0000 0.0000 0.5000

10.
Computed, not measured: a geometry-optimized Rb3Sn3Pb5 structure at the GGA-PBE level of DFT.

Properties
Density of states at the Fermi level ... 5.3 states/eV per cell
Formation energy from the elements ... 91 meV per atom

Cell lengths 9.6164, 9.6164, 6.7864 Å; angles 90.00, 90.00, 120.00 degrees
Space group P-62m (No. 189)
Unique sites:
Rb: 0.0000 0.4885 0.0000
Sn: 0.0000 0.6608 0.5000
Pb: 0.0000 0.2990 0.5000
Pb: 0.3333 0.6667 0.5000

11.
Computed, not measured: a geometry-optimized Sm2HoCd2 structure at the GGA-PBE level of DFT.

Properties
Density of states at the Fermi level ... 10.5 states/eV per cell
Formation energy from the elements ... -250 meV per atom
Polymorph energy (0 for the lowest one) ... 0 meV/atom

Cell lengths 3.748, 5.372, 14.134 Å; angles 90.00, 97.61, 90.00 degrees
Space group P2_1/m (No. 11)
Unique sites:
Sm: 0.045 0.250 0.088
Sm: 0.234 0.250 0.470
Ho: 0.150 0.750 0.299
Cd: 0.361 0.750 0.722
Cd: 0.444 0.250 0.888

12.
Computed, not measured: a geometry-optimized Li2YSc structure at the GGA-PBE level of DFT.

Properties
Density of states at the Fermi level ... 6.7 states/eV per cell
Formation energy from the elements ... 203 meV per atom
Polymorph energy (0 for the lowest one) ... 117 meV/atom

Cell lengths 3.624, 5.218, 10.418 Å; angles 90.00, 90.00, 90.00 degrees
Space group Immm (No. 71)
Unique sites:
Li: 0.000 0.000 0.242
Y: 0.000 0.500 0.000
Sc: 0.000 0.500 0.500

13.
Computed, not measured: a geometry-optimized BaSc2Br structure at the GGA-PBE level of DFT.

Properties
Density of states at the Fermi level ... 14.1 states/eV per cell
Polymorph energy (0 for the lowest one) ... 207 meV/atom

Cell lengths 3.6029, 3.6029, 30.7148 Å; angles 90.00, 90.00, 120.00 degrees
Space group R-3m (No. 166, hexagonal axes)
Unique sites:
Ba: 0.0000 0.0000 0.0000
Sc: 0.0000 0.0000 0.2359
Br: 0.0000 0.0000 0.5000

14.
Computed, not measured: a geometry-optimized Mg2BPPt6 structure at the GGA-PBE level of DFT.

Properties
Density of states at the Fermi level ... 6.5 states/eV per cell
Formation energy from the elements ... -530 meV per atom

Cell lengths 5.648, 8.334, 7.048 Å; angles 90.00, 90.00, 90.00 degrees
Space group Pmmn (No. 59, origin choice 2)
Unique sites:
Mg: 0.250 0.025 0.238
B: 0.250 0.250 0.712
P: 0.250 0.750 0.809
Pt: 0.005 0.750 0.507
Pt: 0.009 0.750 0.074
Pt: 0.250 0.000 0.667